Ti2GaPd: optimized geometry, PBE.

Cell and atoms, written as CIF:
```
data_Ti2GaPd
_cell_length_a 2.847
_cell_length_b 2.847
_cell_length_c 7.717
_cell_angle_alpha 90.00
_cell_angle_beta 90.00
_cell_angle_gamma 90.00
_symmetry_space_group_name_H-M 'P 4/m m m'
_symmetry_Int_Tables_number 123
_symmetry_space_group_name_Hall '-P 4 2'
loop_
_atom_site_label
_atom_site_type_symbol
_atom_site_fract_x
_atom_site_fract_y
_atom_site_fract_z
Ti1 Ti 0.000 0.000 0.250
Ga1 Ga 0.500 0.500 0.000
Pd1 Pd 0.500 0.500 0.500
```

Values from the calculation:
* M_tot: 0.003 μB/f.u.
* DFT formation energy: -506 meV per atom


Pu2PtN: optimized geometry, PBE.

Cell and atoms, written as CIF:
```
data_Pu2PtN
_cell_length_a 4.161
_cell_length_b 4.161
_cell_length_c 8.747
_cell_angle_alpha 90.00
_cell_angle_beta 90.00
_cell_angle_gamma 90.00
_symmetry_space_group_name_H-M 'P 4/n m m'
_symmetry_Int_Tables_number 129
loop_
_symmetry_equiv_pos_as_xyz
'x,y,z'
'-x,-y,-z'
'-y+1/2,x,z'
'y+1/2,-x,-z'
'-x+1/2,-y+1/2,z'
'x+1/2,y+1/2,-z'
'y,-x+1/2,z'
'-y,x+1/2,-z'
'x+1/2,-y,-z'
'-x+1/2,y,z'
'-y,-x,-z'
'y,x,z'
'-x,y+1/2,-z'
'x,-y+1/2,z'
'y+1/2,x+1/2,-z'
'-y+1/2,-x+1/2,z'
loop_
_atom_site_label
_atom_site_type_symbol
_atom_site_fract_x
_atom_site_fract_y
_atom_site_fract_z
Pu1 Pu 0.250 0.250 0.138
Pu2 Pu 0.250 0.750 0.500
Pt1 Pt 0.250 0.250 0.799
N1 N 0.250 0.250 0.390
```

Values from the calculation:
* M_tot: 5.036 μB/f.u.
* energy relative to the lowest polymorph listed for this composition: 0.268 eV/atom
* ΔE_f (raw): -36 kJ per mole of atoms


LiTmScHg: optimized geometry, PBE.

Cell and atoms, written as CIF:
```
data_LiTmScHg
_cell_length_a 7.122
_cell_length_b 7.122
_cell_length_c 7.122
_cell_angle_alpha 90.00
_cell_angle_beta 90.00
_cell_angle_gamma 90.00
_symmetry_space_group_name_H-M 'F -4 3 m'
_symmetry_Int_Tables_number 216
_symmetry_space_group_name_Hall 'F -4 2 3'
loop_
_atom_site_label
_atom_site_type_symbol
_atom_site_fract_x
_atom_site_fract_y
_atom_site_fract_z
Li1 Li 0.000 0.000 0.000
Tm1 Tm 0.250 0.250 0.750
Sc1 Sc 0.250 0.250 0.250
Hg1 Hg 0.000 0.000 0.500
```

Values from the calculation:
* M_tot: 0.000 μB/f.u.
* DFT formation energy: -207 meV per atom


V15Fe4Mo: optimized geometry, PBE.

Cell and atoms, written as CIF:
```
data_V15Fe4Mo
_cell_length_a 4.159
_cell_length_b 4.159
_cell_length_c 14.698
_cell_angle_alpha 90.00
_cell_angle_beta 90.00
_cell_angle_gamma 90.00
_symmetry_space_group_name_H-M 'P 4/m m m'
_symmetry_Int_Tables_number 123
_symmetry_space_group_name_Hall '-P 4 2'
loop_
_atom_site_label
_atom_site_type_symbol
_atom_site_fract_x
_atom_site_fract_y
_atom_site_fract_z
V1 V 0.000 0.000 0.000
V2 V 0.000 0.000 0.204
V3 V 0.000 0.000 0.402
V4 V 0.000 0.500 0.105
V5 V 0.000 0.500 0.303
V6 V 0.000 0.500 0.500
Fe1 Fe 0.500 0.500 0.205
Fe2 Fe 0.500 0.500 0.401
Mo1 Mo 0.500 0.500 0.000
```

Values from the calculation:
* M_tot: 0.000 μB/f.u.
* DFT formation energy: -130 meV per atom


SrAsSe2N: optimized geometry, PBE.

Cell and atoms, written as CIF:
```
data_SrAsSe2N
_cell_length_a 5.966
_cell_length_b 5.966
_cell_length_c 6.230
_cell_angle_alpha 90.00
_cell_angle_beta 90.00
_cell_angle_gamma 90.00
_symmetry_space_group_name_H-M 'P 4/m m m'
_symmetry_Int_Tables_number 123
_symmetry_space_group_name_Hall '-P 4 2'
loop_
_atom_site_label
_atom_site_type_symbol
_atom_site_fract_x
_atom_site_fract_y
_atom_site_fract_z
Sr1 Sr 0.000 0.000 0.000
As1 As 0.000 0.000 0.500
Se1 Se 0.000 0.500 0.000
N1 N 0.500 0.500 0.500
```

Values from the calculation:
* M_tot: 3.066 μB/f.u.
* energy relative to the lowest polymorph listed for this composition: 1.523 eV/atom
* ΔE_f (raw): 132 kJ per mole of atoms


La2Tb2Pm4Tm: optimized geometry, PBE.

Cell and atoms, written as CIF:
```
data_La2Tb2Pm4Tm
_cell_length_a 19.000
_cell_length_b 3.673
_cell_length_c 9.733
_cell_angle_alpha 90.00
_cell_angle_beta 115.61
_cell_angle_gamma 90.00
_symmetry_space_group_name_H-M 'C 1 2/m 1'
_symmetry_Int_Tables_number 12
loop_
_symmetry_equiv_pos_as_xyz
'x,y,z'
'-x,-y,-z'
'-x,y,-z'
'x,-y,z'
'x+1/2,y+1/2,z'
'-x+1/2,-y+1/2,-z'
'-x+1/2,y+1/2,-z'
'x+1/2,-y+1/2,z'
loop_
_atom_site_label
_atom_site_type_symbol
_atom_site_fract_x
_atom_site_fract_y
_atom_site_fract_z
La1 La 0.165 0.000 0.499
Tb1 Tb 0.147 0.500 0.165
Pm1 Pm 0.019 0.000 0.834
Pm2 Pm 0.186 0.500 0.835
Tm1 Tm 0.000 0.500 0.500
```

Values from the calculation:
* M_tot: 0.000 μB/f.u.
* DFT formation energy: 8 meV per atom


LaNdMnIn: optimized geometry, PBE.

Cell and atoms, written as CIF:
```
data_LaNdMnIn
_cell_length_a 7.671
_cell_length_b 7.671
_cell_length_c 7.671
_cell_angle_alpha 90.00
_cell_angle_beta 90.00
_cell_angle_gamma 90.00
_symmetry_space_group_name_H-M 'F -4 3 m'
_symmetry_Int_Tables_number 216
_symmetry_space_group_name_Hall 'F -4 2 3'
loop_
_atom_site_label
_atom_site_type_symbol
_atom_site_fract_x
_atom_site_fract_y
_atom_site_fract_z
La1 La 0.000 0.000 0.000
Nd1 Nd 0.000 0.000 0.500
Mn1 Mn 0.250 0.250 0.750
In1 In 0.250 0.250 0.250
```

Values from the calculation:
* M_tot: 3.371 μB/f.u.
* DFT formation energy: -55 meV per atom


Hf2PdPb: optimized geometry, PBE.

Cell and atoms, written as CIF:
```
data_Hf2PdPb
_cell_length_a 4.348
_cell_length_b 4.348
_cell_length_c 4.314
_cell_angle_alpha 90.00
_cell_angle_beta 90.00
_cell_angle_gamma 90.00
_symmetry_space_group_name_H-M 'P 4/m m m'
_symmetry_Int_Tables_number 123
_symmetry_space_group_name_Hall '-P 4 2'
loop_
_atom_site_label
_atom_site_type_symbol
_atom_site_fract_x
_atom_site_fract_y
_atom_site_fract_z
Hf1 Hf 0.000 0.500 0.000
Pd1 Pd 0.000 0.000 0.500
Pb1 Pb 0.500 0.500 0.500
```

Values from the calculation:
* M_tot: 0.000 μB/f.u.
* DFT formation energy: -229 meV per atom


La3Cd2Ga: optimized geometry, PBE.

Cell and atoms, written as CIF:
```
data_La3Cd2Ga
_cell_length_a 5.509
_cell_length_b 16.649
_cell_length_c 3.813
_cell_angle_alpha 90.00
_cell_angle_beta 90.00
_cell_angle_gamma 90.00
_symmetry_space_group_name_H-M 'C m m m'
_symmetry_Int_Tables_number 65
_symmetry_space_group_name_Hall '-C 2 2'
loop_
_atom_site_label
_atom_site_type_symbol
_atom_site_fract_x
_atom_site_fract_y
_atom_site_fract_z
La1 La 0.000 0.000 0.000
La2 La 0.000 0.345 0.000
Cd1 Cd 0.000 0.178 0.500
Ga1 Ga 0.000 0.500 0.500
```

Values from the calculation:
* M_tot: 0.001 μB/f.u.
* DFT formation energy: -412 meV per atom


Mn2SiSe: optimized geometry, PBE.

Cell and atoms, written as CIF:
```
data_Mn2SiSe
_cell_length_a 2.9189
_cell_length_b 2.9189
_cell_length_c 22.4137
_cell_angle_alpha 90.00
_cell_angle_beta 90.00
_cell_angle_gamma 120.00
_symmetry_space_group_name_H-M 'R -3 m'
_symmetry_Int_Tables_number 166
_symmetry_space_group_name_Hall '-R 3 2"'
loop_
_atom_site_label
_atom_site_type_symbol
_atom_site_fract_x
_atom_site_fract_y
_atom_site_fract_z
Mn1 Mn 0.0000 0.0000 0.2505
Si1 Si 0.0000 0.0000 0.0000
Se1 Se 0.0000 0.0000 0.5000
```

Values from the calculation:
* M_tot: 4.520 μB/f.u.
* energy relative to the lowest polymorph listed for this composition: 0.200 eV/atom
* ΔE_f (raw): 9 kJ per mole of atoms


CrNi: optimized geometry, PBE.

Cell and atoms, written as CIF:
```
data_CrNi
_cell_length_a 3.7309
_cell_length_b 3.7309
_cell_length_c 4.7240
_cell_angle_alpha 90.00
_cell_angle_beta 90.00
_cell_angle_gamma 120.00
_symmetry_space_group_name_H-M 'P 63/m m c'
_symmetry_Int_Tables_number 194
_symmetry_space_group_name_Hall '-P 6c 2c'
loop_
_atom_site_label
_atom_site_type_symbol
_atom_site_fract_x
_atom_site_fract_y
_atom_site_fract_z
Cr1 Cr 0.3333 0.6667 0.2500
Ni1 Ni 0.0000 0.0000 0.0000
```

Values from the calculation:
* M_tot: 3.171 μB/f.u.
* DFT formation energy: 683 meV per atom


RbCo3C: optimized geometry, PBE.

Cell and atoms, written as CIF:
```
data_RbCo3C
_cell_length_a 4.577
_cell_length_b 4.577
_cell_length_c 4.577
_cell_angle_alpha 90.00
_cell_angle_beta 90.00
_cell_angle_gamma 90.00
_symmetry_space_group_name_H-M 'P m -3 m'
_symmetry_Int_Tables_number 221
_symmetry_space_group_name_Hall '-P 4 2 3'
loop_
_atom_site_label
_atom_site_type_symbol
_atom_site_fract_x
_atom_site_fract_y
_atom_site_fract_z
Rb1 Rb 0.000 0.000 0.000
Co1 Co 0.000 0.000 0.500
C1 C 0.500 0.500 0.500
```

Values from the calculation:
* M_tot: 5.100 μB/f.u.
* energy relative to the lowest polymorph listed for this composition: 2.763 eV/atom
* DFT formation energy: 3782 meV per atom


no.,density (Mg/m³)
1,7.2
2,15.3
3,7.7
4,7.1
5,2.5
6,7.3
7,6.7
8,13.7
9,6.8
10,6.5
11,6.5
12,4.7